The following is a DFT calculation (GGA-PBE) of an optimized crystal structure of HgAsRu2. Values from VASP.

Relative energy among the computed polymorphs: 26.2 meV/atom
Energy of formation: 0.205 eV per atom
Total energy: -22.7 eV per cell

Quantum ESPRESSO input file:
```
&SYSTEM
  ibrav = 0, nat = 4, ntyp = 3
/
ATOMIC_SPECIES
Ru 101.07 Ru.upf
As 74.92 As.upf
Hg 200.59 Hg.upf
ATOMIC_POSITIONS angstrom
Ru 4.554 -3.494 -0.175
Ru 1.578 -4.856 2.046
As 1.920 -7.016 3.129
Hg 0.640 -2.339 1.043
CELL_PARAMETERS angstrom
-0.563 -2.141 3.405
-1.730 -3.541 0.983
4.853 -3.673 -0.216
```

The following is a DFT calculation (GGA-PBE) of an optimized crystal structure of HgAsRu2. Values from VASP.

Relative energy among the computed polymorphs: 255.8 meV/atom
Energy of formation: 0.435 eV per atom
Total energy: -21.8 eV per cell

Quantum ESPRESSO input file:
```
&SYSTEM
  ibrav = 0, nat = 4, ntyp = 3
/
ATOMIC_SPECIES
Ru 101.07 Ru.upf
As 74.92 As.upf
Hg 200.59 Hg.upf
ATOMIC_POSITIONS angstrom
Ru 0.000 0.000 0.000
Ru 2.225 2.247 0.000
As 2.236 0.011 1.596
Hg -0.011 2.236 1.596
CELL_PARAMETERS angstrom
4.472 0.022 0.000
-0.022 4.472 0.000
0.000 0.000 3.192
```

The following is a DFT calculation (GGA-PBE) of an optimized crystal structure of HgAsRu2. Values from VASP.

Relative energy among the computed polymorphs: 214.9 meV/atom
Energy of formation: 0.394 eV per atom
Total energy: -21.9 eV per cell

Quantum ESPRESSO input file:
```
&SYSTEM
  ibrav = 0, nat = 4, ntyp = 3
/
ATOMIC_SPECIES
Ru 101.07 Ru.upf
As 74.92 As.upf
Hg 200.59 Hg.upf
ATOMIC_POSITIONS angstrom
Ru -2.601 -3.303 7.305
Ru -1.428 -1.813 4.010
As -2.889 0.337 1.634
Hg -0.117 0.337 2.621
CELL_PARAMETERS angstrom
-4.115 -1.706 2.784
1.429 -1.704 4.759
-0.321 4.084 -3.288
```

The following is a DFT calculation (GGA-PBE) of an optimized crystal structure of Hg2AsRu. Values from VASP.

Energy of formation: 0.205 eV per atom
Total energy: -13.7 eV per cell

Quantum ESPRESSO input file:
```
&SYSTEM
  ibrav = 0, nat = 4, ntyp = 3
/
ATOMIC_SPECIES
Ru 101.07 Ru.upf
As 74.92 As.upf
Hg 200.59 Hg.upf
ATOMIC_POSITIONS angstrom
Ru 3.897 0.429 1.166
As 2.645 2.565 1.201
Hg 11.512 6.749 0.000
Hg 7.013 4.111 0.000
CELL_PARAMETERS angstrom
7.427 1.484 -0.035
4.923 5.756 0.035
-5.808 -4.246 2.368
```

The following is a DFT calculation (GGA-PBE) of an optimized crystal structure of Hg2AsRu. Values from VASP.

Energy of formation: 0.532 eV per atom
Total energy: -12.4 eV per cell

Quantum ESPRESSO input file:
```
&SYSTEM
  ibrav = 0, nat = 4, ntyp = 3
/
ATOMIC_SPECIES
Ru 101.07 Ru.upf
As 74.92 As.upf
Hg 200.59 Hg.upf
ATOMIC_POSITIONS angstrom
Ru 0.383 -3.593 -2.291
As 0.476 -2.893 0.621
Hg 0.000 0.000 0.000
Hg 2.262 -1.486 -1.286
CELL_PARAMETERS angstrom
-1.403 -4.999 -0.384
2.169 -2.186 -4.198
1.972 2.807 3.917
```

The following is a DFT calculation (GGA-PBE) of an optimized crystal structure of HgAsRu2. Values from VASP.

Relative energy among the computed polymorphs: 0.0 meV/atom
Energy of formation: 0.179 eV per atom
Total energy: -22.8 eV per cell

Quantum ESPRESSO input file:
```
&SYSTEM
  ibrav = 0, nat = 4, ntyp = 3
/
ATOMIC_SPECIES
Ru 101.07 Ru.upf
As 74.92 As.upf
Hg 200.59 Hg.upf
ATOMIC_POSITIONS angstrom
Ru 0.000 0.000 0.307
Ru 0.000 0.000 3.129
As 1.520 1.520 1.718
Hg 1.520 1.520 5.154
CELL_PARAMETERS angstrom
3.040 0.000 0.000
0.000 3.040 0.000
0.000 0.000 6.872
```

The following is a DFT calculation (GGA-PBE) of an optimized crystal structure of HgAsRu2. Values from VASP.

Relative energy among the computed polymorphs: 215.1 meV/atom
Energy of formation: 0.394 eV per atom
Total energy: -21.9 eV per cell

Quantum ESPRESSO input file:
```
&SYSTEM
  ibrav = 0, nat = 4, ntyp = 3
/
ATOMIC_SPECIES
Ru 101.07 Ru.upf
As 74.92 As.upf
Hg 200.59 Hg.upf
ATOMIC_POSITIONS angstrom
Ru -1.944 -1.208 1.511
Ru -5.831 -3.624 4.533
As 0.000 0.000 0.000
Hg -3.887 -2.416 3.022
CELL_PARAMETERS angstrom
-0.881 -3.384 2.797
-2.899 0.573 3.364
-3.994 -2.021 -0.118
```

The following is a DFT calculation (GGA-PBE) of an optimized crystal structure of HgAsRu2. Values from VASP.

Relative energy among the computed polymorphs: 285.0 meV/atom
Energy of formation: 0.464 eV per atom
Total energy: -43.3 eV per cell

Quantum ESPRESSO input file:
```
&SYSTEM
  ibrav = 0, nat = 8, ntyp = 3
/
ATOMIC_SPECIES
Ru 101.07 Ru.upf
As 74.92 As.upf
Hg 200.59 Hg.upf
ATOMIC_POSITIONS angstrom
Ru -4.236 2.232 -2.187
Ru -4.903 -2.193 -2.115
Ru -7.677 -0.151 -2.476
Ru -11.368 0.365 -4.955
As -4.185 -0.048 -2.738
As -7.157 -2.425 -2.720
Hg 0.000 0.000 0.000
Hg -6.935 2.552 -3.147
CELL_PARAMETERS angstrom
-3.962 4.930 -3.165
-4.407 -5.025 -2.311
-5.723 0.222 -0.392
```